(1)
RbPuCdF6: optimized geometry, PBE-GGA.

Values from the calculation:
* formation energy (no corrections): -2.905 eV/atom
* calculated total energy: -5.954 eV/atom
* total moment: 5.0 μB/f.u.

Lattice parameters (Å, degrees): 8.6216 8.2003 8.4410 119.06 120.71 90.00
Last column: nearest neighbours and their distance in Å.
Element x y z (fractional)
F  0.4569  0.6744  0.2770  1 Pu 2.28, 1 Cd 2.30
F  0.4569  0.1026  0.2770  1 Pu 2.28, 1 Cd 2.30
F  0.8196  0.0696  0.6392  2 Pu 2.31
F  0.5598  0.3098  0.1197  2 Cd 2.17
F  0.8201  0.6744  0.2770  1 Pu 2.28, 1 Cd 2.30
F  0.5431  0.3256  0.7230  1 Pu 2.28, 1 Cd 2.30
F  0.4402  0.6902  0.8803  2 Cd 2.17
F  0.1799  0.8974  0.7230  1 Pu 2.28, 1 Cd 2.30
F  0.1804  0.9304  0.3608  2 Pu 2.31
F  0.5431  0.8974  0.7230  1 Pu 2.28, 1 Cd 2.30
F  0.8201  0.1026  0.2770  1 Pu 2.28, 1 Cd 2.30
F  0.1799  0.3256  0.7230  1 Pu 2.28, 1 Cd 2.30
Rb  0.2165  0.4665  0.4330  1 F 2.68
Rb  0.7835  0.5335  0.5670  1 F 2.68
Pu  0.5000  0.0000  0.5000  6 F 2.28-2.31
Pu  0.0000  0.0000  0.5000  6 F 2.28-2.31
Cd  0.5000  0.0000  0.0000  6 F 2.17-2.30
Cd  0.5000  0.5000  0.0000  6 F 2.17-2.30

(2)
SnAu2I: optimized geometry, PBE-GGA.

Values from the calculation:
* formation energy (no corrections): 0.329 eV/atom
* calculated total energy: -2.698 eV/atom
* total moment: 0.0 μB/f.u.

Lattice parameters (Å, degrees): 5.1764 5.1764 5.1764 60.00 60.00 60.00
Last column: nearest neighbours and their distance in Å.
Element x y z (fractional)
Sn  0.0000  0.0000  0.0000  8 Au 3.17
Au  0.2500  0.2500  0.2500  4 I 3.17, 4 Sn 3.17
Au  0.7500  0.7500  0.7500  4 Sn 3.17, 4 I 3.17
I  0.5000  0.5000  0.5000  8 Au 3.17

(3)
Rb8AuO4: optimized geometry, PBE-GGA.

Values from the calculation:
* formation energy (no corrections): -0.828 eV/atom
* calculated total energy: -3.201 eV/atom
* total moment: 1.1 μB/f.u.

Lattice parameters (Å, degrees): 8.4241 8.4241 9.4050 102.21 103.72 119.94
Last column: nearest neighbours and their distance in Å.
Element x y z (fractional)
Rb  0.1541  0.4887  0.1666  3 O 2.78-2.83
Rb  0.1670  0.0019  0.1689  3 O 2.72-2.78
Rb  0.3221  0.9875  0.8334  3 O 2.78-2.83
Rb  0.6665  0.4849  0.1513  3 O 2.80-2.81
Rb  0.3335  0.5151  0.8487  3 O 2.80-2.81
Rb  0.6779  0.0125  0.1666  3 O 2.78-2.83
Rb  0.8330  0.9981  0.8311  3 O 2.72-2.78
Rb  0.8459  0.5113  0.8334  3 O 2.78-2.83
O  0.7377  0.2354  0.9731  6 Rb 2.72-2.83
O  0.2460  0.2460  0.0000  6 Rb 2.78-2.83
O  0.2623  0.7646  0.0269  6 Rb 2.72-2.83
O  0.7540  0.7540  0.0000  6 Rb 2.78-2.83
Au  0.0000  0.5000  0.5000  6 Rb 3.67-3.71

(4)
InAg2Pt: optimized geometry, PBE-GGA.

Values from the calculation:
* ΔH_f (0 K): -0.123 eV/atom
* calculated total energy: -3.743 eV/atom
* total moment: 0.0 μB/f.u.

Lattice parameters (Å, degrees): 4.0556 3.0061 6.7023 62.17 90.00 90.00
Last column: nearest neighbours and their distance in Å.
Element x y z (fractional)
In  0.0000  0.4838  0.5178  4 Pt 2.84-2.86, 6 Ag 2.89-3.05, 2 In 3.01
Ag  0.0000  0.9956  0.0055  6 Ag 2.86-3.01, 2 In 2.89-3.04, 4 Pt 2.96-2.99
Ag  0.5000  0.2609  0.2366  6 Ag 2.86-3.01, 2 Pt 2.94-2.98, 4 In 3.00-3.05
Pt  0.5000  0.7597  0.7400  4 In 2.84-2.86, 6 Ag 2.94-2.99, 2 Pt 3.01

(5)
LaY14In: optimized geometry, PBE-GGA.

Values from the calculation:
* ΔH_f (0 K): -0.004 eV/atom
* calculated total energy: -6.139 eV/atom
* total moment: 0.4 μB/f.u.

Lattice parameters (Å, degrees): 6.9745 6.9745 11.1139 90.00 90.00 108.25
Last column: nearest neighbours and their distance in Å.
Element x y z (fractional)
Y  0.3141  0.1162  0.5000  11 Y 3.34-3.69
Y  0.8256  0.1744  0.5000  10 Y 3.45-3.63
Y  0.3315  0.1088  0.0000  2 In 3.43-3.58, 7 Y 3.44-3.62, 2 La 3.44-3.55
Y  0.6207  0.3793  0.2488  9 Y 3.48-3.64, 1 In 3.70
Y  0.8912  0.6685  0.0000  2 In 3.43-3.58, 7 Y 3.44-3.62, 2 La 3.44-3.55
Y  0.1728  0.8272  0.7439  9 Y 3.34-3.58, 1 La 3.62
Y  0.6861  0.8951  0.2402  1 In 3.24, 7 Y 3.42-3.62, 1 La 3.58
Y  0.8838  0.6859  0.5000  11 Y 3.34-3.69
Y  0.6861  0.8951  0.7598  1 In 3.24, 7 Y 3.42-3.62, 1 La 3.58
Y  0.1049  0.3139  0.2402  1 In 3.24, 7 Y 3.42-3.62, 1 La 3.58
Y  0.6207  0.3793  0.7512  9 Y 3.48-3.64, 1 In 3.70
Y  0.1728  0.8272  0.2561  9 Y 3.34-3.58, 1 La 3.62
Y  0.1049  0.3139  0.7598  1 In 3.24, 7 Y 3.42-3.62, 1 La 3.58
Y  0.3761  0.6239  0.5000  10 Y 3.43-3.75
In  0.8379  0.1621  0.0000  8 Y 3.24-3.58
La  0.3708  0.6292  0.0000  10 Y 3.44-3.62

(6)
DyHo2Zn: optimized geometry, PBE-GGA.

Values from the calculation:
* ΔH_f (0 K): 0.014 eV/atom
* calculated total energy: -3.744 eV/atom
* total moment: 0.0 μB/f.u.
* offset from the most stable computed form: 0.175 eV per atom

Lattice parameters (Å, degrees): 3.8620 5.2575 5.2575 90.00 90.00 90.00
Last column: nearest neighbours and their distance in Å.
Element x y z (fractional)
Ho  0.0000  0.5000  0.0000  4 Dy 3.26, 4 Zn 3.26
Ho  0.0000  0.0000  0.5000  4 Zn 3.26, 4 Dy 3.26
Dy  0.5000  0.0000  0.0000  8 Ho 3.26
Zn  0.5000  0.5000  0.5000  8 Ho 3.26